Record 1
# K2MgFeBr | Alexandria | PBE-GGA | relaxed
# Theoretical density, g/cm³: 1.54
# Crystal system: tetragonal
# Uncorrected formation energy, eV/atom: 0.56
data_K2MgFeBr
_chemical_formula_sum 'K2 Mg1 Fe1 Br1'
_symmetry_space_group_name_H-M 'P 4/m m m'
_symmetry_Int_Tables_number 123
_symmetry_space_group_name_Hall '-P 4 2'
_cell_length_a 6.900
_cell_length_b 6.900
_cell_length_c 5.401
_cell_angle_alpha 90.00
_cell_angle_beta 90.00
_cell_angle_gamma 90.00
loop_
_atom_site_label
_atom_site_type_symbol
_atom_site_fract_x
_atom_site_fract_y
_atom_site_fract_z
K1 K 0.000 0.500 0.000
Mg1 Mg 0.000 0.000 0.000
Fe1 Fe 0.500 0.500 0.500
Br1 Br 0.000 0.000 0.500

Record 2
# KNaFeBr4 | Alexandria | PBE-GGA | relaxed
# Theoretical density, g/cm³: 3.17
# Crystal system: monoclinic
# Uncorrected formation energy, eV/atom: -1.10
data_KNaFeBr4
_chemical_formula_sum 'K2 Na2 Fe2 Br8'
_symmetry_space_group_name_H-M 'P 1 21/m 1'
_symmetry_Int_Tables_number 11
_cell_length_a 7.175
_cell_length_b 7.551
_cell_length_c 8.866
_cell_angle_alpha 90.00
_cell_angle_beta 107.12
_cell_angle_gamma 90.00
loop_
_symmetry_equiv_pos_as_xyz
'x,y,z'
'-x,-y,-z'
'-x,y+1/2,-z'
'x,-y+1/2,z'
loop_
_atom_site_label
_atom_site_type_symbol
_atom_site_fract_x
_atom_site_fract_y
_atom_site_fract_z
K1 K 0.240 0.250 0.058
Na1 Na 0.222 0.250 0.554
Fe1 Fe 0.236 0.750 0.321
Br1 Br 0.004 0.502 0.271
Br2 Br 0.431 0.750 0.139
Br3 Br 0.449 0.750 0.588